# 1
## Na17Sr2 (GGA-PBE)

Data for crystalline Na17Sr2 at its relaxed geometry.

The structure in POSCAR format:
```
Na17Sr2
1.0
6.014 3.472 5.944
-6.014 3.472 5.944
0.000 -6.945 5.944
Na Sr
17 2
direct
0.000 0.000 0.500 Na
0.000 0.302 0.698 Na
0.000 0.500 0.000 Na
0.000 0.698 0.302 Na
0.101 0.101 0.101 Na
0.156 0.645 0.645 Na
0.302 0.000 0.698 Na
0.302 0.698 0.000 Na
0.355 0.355 0.844 Na
0.355 0.844 0.355 Na
0.500 0.000 0.000 Na
0.645 0.156 0.645 Na
0.645 0.645 0.156 Na
0.698 0.000 0.302 Na
0.698 0.302 0.000 Na
0.844 0.355 0.355 Na
0.899 0.899 0.899 Na
0.339 0.339 0.339 Sr
0.661 0.661 0.661 Sr
```

Values from the calculation:
SG: No. 166
ΔH_f (0 K), eV per formula unit: 0.6

---

# 2
## NaSr3 (GGA-PBE)

Data for crystalline NaSr3 at its relaxed geometry.

The structure in POSCAR format:
```
NaSr3
1.0
4.522 0.000 0.000
0.000 13.372 0.000
0.000 0.000 6.714
Na Sr
2 6
direct
0.000 0.000 0.000 Na
0.500 0.500 0.500 Na
0.000 0.270 0.503 Sr
0.000 0.500 0.001 Sr
0.000 0.730 0.503 Sr
0.500 0.000 0.501 Sr
0.500 0.230 0.003 Sr
0.500 0.770 0.003 Sr
```

Values from the calculation:
SG: No. 44
ΔH_f (0 K), eV per formula unit: 0.1

---

# 3
## Na13Sr3 (GGA-PBE)

Data for crystalline Na13Sr3 at its relaxed geometry.

The structure in POSCAR format:
```
Na13Sr3
1.0
8.462 0.000 0.000
0.000 6.207 6.273
0.000 -6.207 6.273
Na Sr
13 3
direct
0.000 0.000 0.000 Na
0.000 0.005 0.539 Na
0.000 0.525 0.525 Na
0.000 0.539 0.005 Na
0.236 0.749 0.749 Na
0.238 0.277 0.761 Na
0.238 0.761 0.277 Na
0.500 0.524 0.994 Na
0.500 0.533 0.533 Na
0.500 0.994 0.524 Na
0.762 0.277 0.761 Na
0.762 0.761 0.277 Na
0.764 0.749 0.749 Na
0.249 0.271 0.271 Sr
0.500 0.993 0.993 Sr
0.751 0.271 0.271 Sr
```

Values from the calculation:
SG: No. 38
ΔH_f (0 K), eV per formula unit: 0.7

---

# 4
## Na2Sr5 (GGA-PBE)

Data for crystalline Na2Sr5 at its relaxed geometry.

The structure in POSCAR format:
```
Na2Sr5
1.0
4.308 0.000 0.000
0.000 4.308 0.000
0.000 0.000 37.408
Na Sr
4 10
direct
0.000 0.000 0.225 Na
0.000 0.000 0.775 Na
0.500 0.500 0.275 Na
0.500 0.500 0.725 Na
0.000 0.000 0.079 Sr
0.000 0.000 0.342 Sr
0.000 0.000 0.500 Sr
0.000 0.000 0.658 Sr
0.000 0.000 0.921 Sr
0.500 0.500 0.000 Sr
0.500 0.500 0.158 Sr
0.500 0.500 0.421 Sr
0.500 0.500 0.579 Sr
0.500 0.500 0.842 Sr
```

Values from the calculation:
Offset from the most stable computed form, meV per atom: 0.0
SG: No. 139
ΔH_f (0 K), eV per formula unit: 0.0

---

# 5
## Na7Sr5 (GGA-PBE)

Data for crystalline Na7Sr5 at its relaxed geometry.

The structure in POSCAR format:
```
Na7Sr5
1.0
4.248 0.000 0.000
0.000 13.916 0.000
0.000 0.000 9.232
Na Sr
7 5
direct
0.000 0.000 0.000 Na
0.000 0.000 0.409 Na
0.000 0.321 0.936 Na
0.000 0.679 0.936 Na
0.500 0.181 0.194 Na
0.500 0.500 0.738 Na
0.500 0.819 0.194 Na
0.000 0.345 0.465 Sr
0.000 0.655 0.465 Sr
0.500 0.145 0.707 Sr
0.500 0.500 0.163 Sr
0.500 0.855 0.707 Sr
```

Values from the calculation:
SG: No. 25
ΔH_f (0 K), eV per formula unit: 0.5

---

# 6
## Na3Sr (GGA-PBE)

Data for crystalline Na3Sr at its relaxed geometry.

The structure in POSCAR format:
```
Na3Sr
1.0
4.096 0.000 0.000
0.000 6.350 0.000
0.000 0.000 6.612
Na Sr
3 1
direct
0.000 0.000 0.000 Na
0.000 0.500 0.354 Na
0.500 0.000 0.478 Na
0.500 0.500 0.857 Sr
```

Values from the calculation:
SG: No. 25
ΔH_f (0 K), eV per formula unit: 0.2